Material: Na2MgSbSe4
Method: DFT, PBE-GGA
State: relaxed

## Properties
Formation energy without anion corrections in kJ/mol of formula units: -638
Total DFT energy (no corrections) in eV/atom: -3.613

The structure in extended XYZ format:
```
8
Lattice="-3.824 0.486 1.110 -1.710 -5.797 -3.353 1.794 -1.828 6.976" Properties=species:S:1:pos:R:3 pbc="T T T"
Sb -2.767 -2.655 -1.121
Se -1.810 -5.609 3.466
Mg 0.000 0.000 0.000
Na 0.042 -3.812 1.811
Na -1.015 -0.671 4.043
Se -1.930 -1.529 1.267
Se -0.880 -4.750 -0.952
Se 0.964 -2.874 4.575
```


Material: NaMgSbSe3
Method: DFT, PBE-GGA
State: relaxed

## Properties
Formation energy without anion corrections in kJ/mol of formula units: -471
Total DFT energy (no corrections) in eV/atom: -3.729

The structure in extended XYZ format:
```
12
Lattice="-2.818 -2.003 2.282 -4.999 -3.250 -9.025 5.303 -6.390 0.940" Properties=species:S:1:pos:R:3 pbc="T T T"
Mg -4.695 -6.872 -6.190
Se -5.821 -4.624 -5.607
Sb -3.308 -3.392 -5.182
Mg 2.182 -4.771 0.387
Na -1.930 -8.458 -4.167
Sb 0.795 -8.252 -0.621
Na -0.583 -3.186 -1.637
Se -3.411 -4.141 -2.207
Se 3.308 -7.020 -0.197
Se -0.390 -5.032 0.741
Se -2.123 -6.611 -6.545
Se 0.898 -7.503 -3.597
```


Material: Na3Mg2SbSe6
Method: DFT, PBE-GGA
State: relaxed

## Properties
Formation energy without anion corrections in kJ/mol of formula units: -1037
Total DFT energy (no corrections) in eV/atom: -3.577

The structure in extended XYZ format:
```
12
Lattice="-0.983 6.745 0.910 -0.800 -4.337 5.276 7.387 -0.036 -0.401" Properties=species:S:1:pos:R:3 pbc="T T T"
Se 4.448 0.011 5.132
Se 1.216 -1.247 2.074
Na 2.864 -2.564 4.370
Mg -0.861 -0.650 3.823
Se 5.354 0.585 1.261
Se 4.389 3.619 3.711
Na 2.740 4.935 1.415
Mg -0.922 3.057 2.363
Na 2.802 1.186 2.892
Sb 0.000 0.000 0.000
Se 0.250 1.787 4.524
Se 1.156 2.361 0.653
```


Material: NaMgSi2Sb
Method: DFT, PBE-GGA
State: relaxed

## Properties
Formation energy without anion corrections in kJ/mol of formula units: 527
Total DFT energy (no corrections) in eV/atom: -2.485

The structure in extended XYZ format:
```
5
Lattice="4.983 0.000 0.000 0.000 5.374 0.000 0.000 0.000 4.983" Properties=species:S:1:pos:R:3 pbc="T T T"
Mg 2.491 2.687 2.491
Na 0.000 0.000 0.000
Sb 0.000 2.687 0.000
Si 0.000 0.000 2.491
Si 2.491 0.000 0.000
```


Material: NaMgSb2Te
Method: DFT, PBE-GGA
State: relaxed

## Properties
Excess energy over the best structure of this formula in the dataset in kcal/mol of atoms: 10.71
Formation energy without anion corrections in kJ/mol of formula units: 281
Total DFT energy (no corrections) in eV/atom: -2.278

The structure in extended XYZ format:
```
5
Lattice="-3.728 -3.878 -0.492 3.551 -3.075 -2.668 1.675 -2.216 4.783" Properties=species:S:1:pos:R:3 pbc="T T T"
Te 0.837 -1.108 2.392
Mg 0.749 -4.585 0.812
Na 0.000 0.000 0.000
Sb 1.775 -1.537 -1.334
Sb -1.864 -1.939 -0.246
```


Material: NaMgSb2Te
Method: DFT, PBE-GGA
State: relaxed

## Properties
Excess energy over the best structure of this formula in the dataset in kcal/mol of atoms: 0.00
Formation energy without anion corrections in kJ/mol of formula units: 57
Total DFT energy (no corrections) in eV/atom: -2.743

The structure in extended XYZ format:
```
5
Lattice="-1.295 5.257 0.238 -1.365 -0.099 -5.244 -5.364 -1.385 1.423" Properties=species:S:1:pos:R:3 pbc="T T T"
Sb -0.683 -0.049 -2.622
Te -2.682 -0.693 0.711
Na -4.012 1.887 -1.792
Mg 0.000 0.000 0.000
Sb -0.647 2.629 0.119
```


Material: Na4MgSb3Te8
Method: DFT, PBE-GGA
State: relaxed

## Properties
Formation energy without anion corrections in kJ/mol of formula units: -799
Total DFT energy (no corrections) in eV/atom: -3.291

The structure in extended XYZ format:
```
16
Lattice="-1.851 5.743 -6.273 -8.276 -3.805 -1.041 2.299 2.793 7.917" Properties=species:S:1:pos:R:3 pbc="T T T"
Mg -4.138 -1.902 -0.521
Te -2.486 4.802 -0.909
Te -2.716 0.419 -1.753
Na 0.000 0.000 0.000
Sb -5.063 0.969 -3.657
Na 0.224 4.268 0.822
Te -6.308 2.851 -1.566
Te -3.666 3.367 -4.974
Te -5.111 4.312 2.356
Te -5.341 -0.071 1.511
Sb -2.988 -0.506 3.438
Na -0.926 2.871 -3.136
Te -4.161 1.364 5.576
Te -1.519 1.880 2.169
Sb -3.914 2.366 0.301
Na 1.150 1.396 3.958
```


Material: NaMgSbTe3
Method: DFT, PBE-GGA
State: relaxed

## Properties
Formation energy without anion corrections in kJ/mol of formula units: -323
Total DFT energy (no corrections) in eV/atom: -3.302

The structure in extended XYZ format:
```
12
Lattice="-1.948 -3.014 2.623 4.985 -6.885 -4.211 6.095 2.612 7.527" Properties=species:S:1:pos:R:3 pbc="T T T"
Te 5.506 0.773 6.859
Na 7.250 -5.794 4.375
Te 2.671 -2.424 4.847
Na 1.883 -1.494 1.564
Te 6.461 -4.864 1.091
Mg 3.653 0.213 4.841
Te 3.627 -8.061 -0.921
Te 7.454 -2.458 4.593
Sb 5.517 -2.302 7.101
Mg 5.479 -7.501 1.098
Te 1.679 -4.830 1.346
Sb 3.616 -4.986 -1.162
```


Material: NaMgSbTe2
Method: DFT, PBE-GGA
State: relaxed

## Properties
Excess energy over the best structure of this formula in the dataset in kcal/mol of atoms: 0.00
Formation energy without anion corrections in kJ/mol of formula units: -15
Total DFT energy (no corrections) in eV/atom: -2.694

The structure in extended XYZ format:
```
5
Lattice="5.654 0.000 0.000 0.000 5.654 0.000 0.000 0.000 5.351" Properties=species:S:1:pos:R:3 pbc="T T T"
Te 0.000 2.827 0.000
Na 2.827 2.827 2.675
Te 2.827 0.000 0.000
Sb 0.000 0.000 2.675
Mg 0.000 0.000 0.000
```


Material: Na3MgSb2Te6
Method: DFT, PBE-GGA
State: relaxed

## Properties
Formation energy without anion corrections in kJ/mol of formula units: -633
Total DFT energy (no corrections) in eV/atom: -3.267

The structure in extended XYZ format:
```
12
Lattice="-6.898 2.695 -1.164 0.944 -7.194 1.884 1.465 3.373 7.176" Properties=species:S:1:pos:R:3 pbc="T T T"
Te -4.685 0.794 5.632
Mg 0.000 0.000 0.000
Na -2.244 -0.563 3.948
Sb -1.679 -3.885 0.864
Te -2.355 1.298 1.272
Sb -4.274 -0.614 -0.144
Te 0.197 -1.920 2.264
Te -4.129 -2.602 2.182
Na 0.280 -3.746 4.929
Te -0.359 1.476 5.714
Na -4.768 2.619 2.967
Te -2.133 -2.424 6.624
```


Material: NaMgSbTe2
Method: DFT, PBE-GGA
State: relaxed

## Properties
Excess energy over the best structure of this formula in the dataset in kcal/mol of atoms: 11.73
Formation energy without anion corrections in kJ/mol of formula units: 231
Total DFT energy (no corrections) in eV/atom: -2.186

The structure in extended XYZ format:
```
5
Lattice="5.566 0.000 0.000 0.000 5.566 0.000 0.000 0.000 5.318" Properties=species:S:1:pos:R:3 pbc="T T T"
Na 0.000 0.000 0.000
Te 0.000 2.783 0.000
Te 2.783 0.000 0.000
Sb 0.000 0.000 2.659
Mg 2.783 2.783 2.659
```


Material: Na2MgTlSb
Method: DFT, PBE-GGA
State: relaxed

## Properties
Formation energy without anion corrections in kJ/mol of formula units: 147
Total DFT energy (no corrections) in eV/atom: -1.839

The structure in extended XYZ format:
```
5
Lattice="5.984 0.000 0.000 0.000 5.555 0.000 0.000 0.000 5.984" Properties=species:S:1:pos:R:3 pbc="T T T"
Na 0.000 0.000 2.992
Tl 0.000 0.000 0.000
Sb 0.000 2.778 0.000
Mg 2.992 2.778 2.992
Na 2.992 0.000 0.000
```